This record from Alexandria via LeMat-Bulk describes a PBEsol-optimized structure of BaP2H. The functional is meta-GGA SCAN.

Geometry as POSCAR:
```
BaP2H
1.0
0.000 4.164 4.164
4.164 0.000 4.164
4.164 4.164 0.000
Ba P H
2 4 2
direct
0.125 0.125 0.125
0.875 0.875 0.875
0.000 0.500 0.500
0.500 0.000 0.500
0.500 0.500 0.000
0.500 0.500 0.500
0.375 0.375 0.375
0.625 0.625 0.625
```

Results
Electronic total energy ... -16.01 eV per atom
Density ... 4.607 g cm⁻³